# 1
Compound: Ta3Be3B2
Source: the Alexandria database
Functional: PBE
Structure: relaxed

a = 4.6888 Å, b = 4.6888 Å, c = 12.2878 Å
α = 90.00°, β = 90.00°, γ = 139.72°
Closest atoms and distances in Å follow each position.
Atoms (fractional coordinates):
Ta: 0.0649 0.9351 0.7500  5 Be 2.37-2.50, 4 B 2.40
Ta: 0.3557 0.6443 0.5911  4 B 2.47-2.58, 7 Be 2.50-2.62
Ta: 0.3557 0.6443 0.9089  4 B 2.47-2.58, 7 Be 2.50-2.62
Ta: 0.6443 0.3557 0.0911  4 B 2.47-2.58, 7 Be 2.50-2.62
Ta: 0.6443 0.3557 0.4089  4 B 2.47-2.58, 7 Be 2.50-2.62
Ta: 0.9351 0.0649 0.2500  5 Be 2.37-2.50, 4 B 2.40
Be: 0.0755 0.9245 0.5575  2 B 1.88, 1 Be 1.94
Be: 0.0755 0.9245 0.9425  2 B 1.88, 1 Be 1.94
Be: 0.2193 0.7807 0.2500  2 B 2.01
Be: 0.7807 0.2193 0.7500  2 B 2.01
Be: 0.9245 0.0755 0.0575  2 B 1.88, 1 Be 1.94
Be: 0.9245 0.0755 0.4425  2 B 1.88, 1 Be 1.94
B: 0.3540 0.6460 0.1179  3 Be 1.88-2.01
B: 0.3540 0.6460 0.3821  3 Be 1.88-2.01
B: 0.6460 0.3540 0.6179  3 Be 1.88-2.01
B: 0.6460 0.3540 0.8821  3 Be 1.88-2.01

Values from the calculation:
crystal system	orthorhombic



# 2
Compound: TaBe4B2
Source: the Alexandria database
Functional: PBE
Structure: relaxed

a = 3.1864 Å, b = 3.1773 Å, c = 6.1436 Å
α = 90.00°, β = 105.10°, γ = 90.00°
Closest atoms and distances in Å follow each position.
Atoms (fractional coordinates):
Ta: 0.0000 0.0000 0.0000  8 B 2.42, 8 Be 2.60-2.63
Be: 0.1735 0.5000 0.3478  2 B 1.98
Be: 0.3240 0.0000 0.6469  2 B 1.99
Be: 0.6760 0.0000 0.3531  2 B 1.99
Be: 0.8265 0.5000 0.6522  2 B 1.98
B: 0.4257 0.5000 0.8493  1 B 1.79, 4 Be 1.98-1.99
B: 0.5743 0.5000 0.1507  1 B 1.79, 4 Be 1.98-1.99

Values from the calculation:
crystal system	monoclinic



# 3
Compound: Ta2BeB
Source: the Alexandria database
Functional: PBE
Structure: relaxed

a = 4.1457 Å, b = 4.1457 Å, c = 4.1457 Å
α = 60.00°, β = 60.00°, γ = 60.00°
Closest atoms and distances in Å follow each position.
Atoms (fractional coordinates):
Ta: 0.2500 0.2500 0.2500  4 B 2.54, 4 Be 2.54
Ta: 0.7500 0.7500 0.7500  4 B 2.54, 4 Be 2.54
Be: 0.0000 0.0000 0.0000  8 Ta 2.54
B: 0.5000 0.5000 0.5000  8 Ta 2.54

Values from the calculation:
crystal system	cubic
energy above the most stable polymorph in this dataset	312	kJ/mol of formula units



# 4
Compound: Ta2Be3B2
Source: the Alexandria database
Functional: PBE
Structure: relaxed

a = 7.7893 Å, b = 7.7893 Å, c = 5.5550 Å
α = 90.00°, β = 90.00°, γ = 155.57°
Closest atoms and distances in Å follow each position.
Atoms (fractional coordinates):
Ta: 0.0540 0.9460 0.7500  9 Be 2.42-2.57, 4 B 2.51
Ta: 0.1652 0.8348 0.2500  6 Be 2.48-2.50, 6 B 2.53-2.72
Ta: 0.8348 0.1652 0.7500  6 Be 2.48-2.50, 6 B 2.53-2.72
Ta: 0.9460 0.0540 0.2500  9 Be 2.42-2.57, 4 B 2.51
Be: 0.2127 0.7873 0.7500  4 B 2.00
Be: 0.4411 0.5589 0.5776  1 B 1.88, 2 Be 1.92-1.99
Be: 0.4411 0.5589 0.9224  1 B 1.88, 2 Be 1.92-1.99
Be: 0.5589 0.4411 0.0776  1 B 1.88, 2 Be 1.92-1.99
Be: 0.5589 0.4411 0.4224  1 B 1.88, 2 Be 1.92-1.99
Be: 0.7873 0.2127 0.2500  4 B 2.00
B: 0.3350 0.6650 0.0953  1 B 1.72, 1 Be 1.88
B: 0.3350 0.6650 0.4047  1 B 1.72, 1 Be 1.88
B: 0.6650 0.3350 0.5953  1 B 1.72, 1 Be 1.88
B: 0.6650 0.3350 0.9047  1 B 1.72, 1 Be 1.88

Values from the calculation:
crystal system	orthorhombic
energy above the most stable polymorph in this dataset	92	kJ/mol of formula units



# 5
Compound: TaBe3B
Source: the Alexandria database
Functional: PBE
Structure: relaxed

a = 9.0125 Å, b = 9.0125 Å, c = 9.0125 Å
α = 159.38°, β = 159.03°, γ = 29.58°
Closest atoms and distances in Å follow each position.
Atoms (fractional coordinates):
Ta: 0.3351 0.0851 0.2500  4 B 2.47, 10 Be 2.50-2.63
Ta: 0.6649 0.9149 0.7500  4 B 2.47, 10 Be 2.50-2.63
Be: 0.0471 0.7971 0.2500  2 B 1.98
Be: 0.2206 0.4706 0.7500  1 B 1.87, 2 Be 1.93
Be: 0.4530 0.7030 0.7500  2 B 2.01
Be: 0.5470 0.2970 0.2500  2 B 2.01
Be: 0.7794 0.5294 0.2500  1 B 1.87, 2 Be 1.93
Be: 0.9529 0.2029 0.7500  2 B 1.98
B: 0.1132 0.3632 0.7500  5 Be 1.87-2.01
B: 0.8868 0.6368 0.2500  5 Be 1.87-2.01

Values from the calculation:
crystal system	orthorhombic
energy above the most stable polymorph in this dataset	0	kJ/mol of formula units



# 6
Compound: Ta3BeB3
Source: the Alexandria database
Functional: PBE
Structure: relaxed

a = 7.5320 Å, b = 7.5320 Å, c = 7.5320 Å
α = 155.61°, β = 154.61°, γ = 35.49°
Closest atoms and distances in Å follow each position.
Atoms (fractional coordinates):
Ta: 0.0000 0.0000 0.0000  5 B 2.41-2.56, 2 Be 2.42
Ta: 0.1894 0.6894 0.5000  8 B 2.48-2.59, 4 Be 2.48
Ta: 0.3730 0.3730 0.0000  7 B 2.37-2.54
Be: 0.6233 0.1233 0.5000  3 B 1.88-1.90
B: 0.5502 0.5502 0.0000  2 Be 1.90
B: 0.7545 0.2545 0.5000  2 B 1.86, 1 Be 1.88
B: 0.8217 0.8217 0.0000  2 B 1.86

Values from the calculation:
crystal system	orthorhombic



# 7
Compound: TaBe3B12
Source: the Alexandria database
Functional: PBE
Structure: relaxed

a = 6.2841 Å, b = 6.2841 Å, c = 7.5888 Å
α = 104.51°, β = 104.51°, γ = 108.80°
Closest atoms and distances in Å follow each position.
Atoms (fractional coordinates):
Ta: 0.0352 0.9648 0.5000  9 B 2.23-2.49
Ta: 0.9648 0.0352 0.0000  9 B 2.23-2.49
Be: 0.0432 0.5128 0.1458  5 B 1.93-2.14
Be: 0.1422 0.6498 0.8349  6 B 1.94-2.08
Be: 0.5128 0.0432 0.6458  5 B 1.93-2.14
Be: 0.6498 0.1422 0.3349  6 B 1.94-2.08
Be: 0.6572 0.7289 0.6594  7 B 1.98-2.21
Be: 0.7289 0.6572 0.1594  7 B 1.98-2.21
B: 0.0759 0.8408 0.1989  3 B 1.68-1.84
B: 0.1109 0.3217 0.7317  5 B 1.80-1.88, 1 Be 1.94
B: 0.1146 0.4072 0.5193  3 B 1.65-1.82
B: 0.1462 0.6899 0.5825  3 B 1.61-1.70
B: 0.2386 0.3602 0.3116  5 B 1.76-1.93
B: 0.2855 0.9317 0.7746  4 B 1.61-1.76
B: 0.3217 0.1109 0.2317  5 B 1.80-1.88, 1 Be 1.94
B: 0.3497 0.8702 0.3291  4 B 1.68-1.88
B: 0.3602 0.2386 0.8116  5 B 1.76-1.93
B: 0.3750 0.5159 0.9671  4 B 1.76-1.88
B: 0.3885 0.5911 0.2146  4 B 1.76-1.88, 1 Be 1.96
B: 0.4072 0.1146 0.0193  3 B 1.65-1.82
B: 0.5159 0.3750 0.4671  4 B 1.76-1.88
B: 0.5323 0.8863 0.8838  3 B 1.70-1.73
B: 0.5911 0.3885 0.7146  4 B 1.76-1.88, 1 Be 1.96
B: 0.6082 0.6456 0.8884  4 B 1.73-1.76
B: 0.6283 0.8879 0.4479  3 B 1.71-1.84
B: 0.6456 0.6082 0.3884  4 B 1.73-1.76
B: 0.6899 0.1462 0.0825  3 B 1.61-1.70
B: 0.8408 0.0759 0.6989  3 B 1.68-1.84
B: 0.8702 0.3497 0.8291  4 B 1.68-1.88
B: 0.8863 0.5323 0.3838  3 B 1.70-1.73
B: 0.8879 0.6283 0.9479  3 B 1.71-1.84
B: 0.9317 0.2855 0.2746  4 B 1.61-1.76

Values from the calculation:
crystal system	monoclinic



# 8
Compound: Ta3BeB
Source: the Alexandria database
Functional: PBE
Structure: relaxed

a = 4.2937 Å, b = 4.2937 Å, c = 4.2937 Å
α = 90.00°, β = 90.00°, γ = 90.00°
Closest atoms and distances in Å follow each position.
Atoms (fractional coordinates):
Ta: 0.0000 0.0000 0.5000  2 B 2.15
Ta: 0.0000 0.5000 0.0000  2 B 2.15
Ta: 0.5000 0.0000 0.0000  2 B 2.15
Be: 0.5000 0.5000 0.5000  12 Ta 3.04
B: 0.0000 0.0000 0.0000  6 Ta 2.15

Values from the calculation:
crystal system	cubic
energy above the most stable polymorph in this dataset	0	kJ/mol of formula units



# 9
Compound: Ta2Ti2BeB4
Source: the Alexandria database
Functional: PBE
Structure: relaxed

a = 5.1155 Å, b = 5.1155 Å, c = 5.1155 Å
α = 115.78°, β = 115.78°, γ = 97.48°
Closest atoms and distances in Å follow each position.
Atoms (fractional coordinates):
Ta: 0.2500 0.7500 0.5000  8 B 2.56, 4 Ti 2.76
Ta: 0.7500 0.2500 0.5000  8 B 2.56, 4 Ti 2.76
Ti: 0.1834 0.1834 0.0000  1 Be 2.14, 4 B 2.38
Ti: 0.8166 0.8166 0.0000  1 Be 2.14, 4 B 2.38
Be: 0.5000 0.5000 0.0000  4 B 1.81
B: 0.2650 0.2650 0.5299  1 Be 1.81
B: 0.2650 0.7350 0.0000  1 Be 1.81
B: 0.7350 0.2650 0.0000  1 Be 1.81
B: 0.7350 0.7350 0.4701  1 Be 1.81

Values from the calculation:
crystal system	tetragonal



# 10
Compound: Ta2BeB4W2
Source: the Alexandria database
Functional: PBE
Structure: relaxed

a = 5.2040 Å, b = 5.2040 Å, c = 5.2040 Å
α = 116.46°, β = 116.46°, γ = 96.25°
Closest atoms and distances in Å follow each position.
Atoms (fractional coordinates):
Ta: 0.2500 0.7500 0.5000  8 B 2.60, 4 W 2.79
Ta: 0.7500 0.2500 0.5000  8 B 2.60, 4 W 2.79
Be: 0.0000 0.0000 0.0000  4 B 1.92
B: 0.2476 0.2476 0.4952  1 Be 1.92
B: 0.2476 0.7524 0.0000  1 Be 1.92
B: 0.7524 0.2476 0.0000  1 Be 1.92
B: 0.7524 0.7524 0.5048  1 Be 1.92
W: 0.3232 0.3232 0.0000  1 Be 2.25, 4 B 2.31, 1 W 2.46
W: 0.6768 0.6768 0.0000  1 Be 2.25, 4 B 2.31, 1 W 2.46

Values from the calculation:
crystal system	tetragonal



# 11
Compound: ZrTaBeB2
Source: the Alexandria database
Functional: PBE
Structure: relaxed

a = 4.1336 Å, b = 4.1336 Å, c = 4.2426 Å
α = 90.00°, β = 90.00°, γ = 90.00°
Closest atoms and distances in Å follow each position.
Atoms (fractional coordinates):
Zr: 0.0000 0.0000 0.0000  4 B 2.07, 2 Be 2.12
Ta: 0.5000 0.5000 0.5000  4 Be 2.92, 8 B 2.96
Be: 0.0000 0.0000 0.5000  2 Zr 2.12
B: 0.0000 0.5000 0.0000  2 Zr 2.07
B: 0.5000 0.0000 0.0000  2 Zr 2.07

Values from the calculation:
crystal system	tetragonal



# 12
Compound: Tb3Be2B9
Source: the Alexandria database
Functional: PBE
Structure: relaxed

a = 7.0406 Å, b = 7.0406 Å, c = 7.0406 Å
α = 153.95°, β = 102.52°, γ = 83.38°
Closest atoms and distances in Å follow each position.
Atoms (fractional coordinates):
Tb: 0.0000 0.0000 0.0000  12 B 2.76-2.85, 4 Be 3.03
Tb: 0.3027 0.3027 0.0000  14 B 2.61-2.83, 2 Be 2.76
Tb: 0.6973 0.6973 0.0000  14 B 2.61-2.83, 2 Be 2.76
Be: 0.2930 0.5000 0.7930  2 B 1.94
Be: 0.7070 0.5000 0.2070  2 B 1.94
B: 0.0255 0.3382 0.6873  2 B 1.72
B: 0.1156 0.8545 0.2611  2 B 1.72
B: 0.3491 0.6618 0.6873  2 B 1.72
B: 0.4065 0.1455 0.2611  2 B 1.72
B: 0.5000 0.0000 0.5000  4 Be 2.42, 4 B 2.60, 4 Tb 2.61
B: 0.5935 0.8545 0.7389  2 B 1.72
B: 0.6509 0.3382 0.3127  2 B 1.72
B: 0.8844 0.1455 0.7389  2 B 1.72
B: 0.9745 0.6618 0.3127  2 B 1.72

Values from the calculation:
crystal system	orthorhombic



What did we get for mass density? Answer: 11.25, 6.60, 12.58, 9.78, 7.88, 12.84, 4.38, 11.80, 8.49, 12.45, 6.94, 6.69 g/cm³, in the order shown.
What did we get for DFT formation energy? Answer: -0.49, -0.29, 0.23, -0.29, -0.35, -0.74, 0.18, 0.20, 0.30, 0.54, 1.56, -0.04 eV/atom, in the order shown.
What did we get for calculated total energy? Answer: -8.005, -6.022, -8.302, -7.182, -6.288, -9.215, -6.264, -8.989, -7.467, -8.352, -5.939, -5.854 eV/atom, in the order shown.